# 1
Compound: Cu2Hg3
Source: Alexandria via LeMat-Bulk
Functional: PBE-GGA
Structure: optimized geometry

POSCAR file:
```
Cu2Hg3
1.0
0.0000 6.6672 2.3617
6.3568 0.0000 2.3617
6.3568 6.6672 0.0000
Cu Hg
4 6
Cartesian
3.5817 7.0886 3.5426 Cu
6.7601 2.9122 2.3617 Cu
9.1319 6.2458 3.5426 Cu
5.9535 10.4222 2.3617 Cu
8.0547 5.1158 1.2050 Hg
3.1784 3.3336 0.6039 Hg
4.8763 4.8850 2.3859 Hg
4.6589 8.2186 1.2050 Hg
7.8372 8.4495 2.3859 Hg
6.3568 6.6672 4.1465 Hg
```

The value obtained for the relative energy among the computed polymorphs is 33 meV per atom. The calculated density comes out at 12.1 g/cm³. As for the energy relative to the elements: 0.185 eV/atom.

---

# 2
Compound: Sc8Si2C3
Source: Alexandria via LeMat-Bulk
Functional: PBE-GGA
Structure: optimized geometry

POSCAR file:
```
Sc8Si2C3
1.0
6.6204 -3.3816 0.0000
6.6204 3.3816 0.0000
-1.8547 0.0000 5.5875
Sc Si C
8 2 3
Cartesian
0.5156 0.0000 2.2650 Sc
5.1134 1.7833 0.5880 Sc
6.2727 1.7833 4.9995 Sc
4.1987 0.0000 3.1898 Sc
7.1873 0.0000 2.3976 Sc
5.1134 -1.7833 0.5880 Sc
6.2727 -1.7833 4.9995 Sc
10.8704 0.0000 3.3225 Sc
1.8672 0.0000 4.6257 Si
9.5189 0.0000 0.9618 Si
0.0000 0.0000 0.0000 C
5.6930 1.6327 2.7937 C
5.6930 -1.6327 2.7937 C
```

The calculated density comes out at 3.0 g/cm³. For the total energy, the calculation gives -7.32 eV/atom.

---

# 3
Compound: TiCd2Ga2
Source: Alexandria via LeMat-Bulk
Functional: PBE-GGA
Structure: optimized geometry

POSCAR file:
```
TiCd2Ga2
1.0
7.8823 0.0000 0.0000
0.0000 7.8823 0.0000
0.0000 0.0000 3.1668
Ti Cd Ga
2 4 4
Cartesian
0.0000 0.0000 0.0000 Ti
3.9411 3.9411 0.0000 Ti
1.0123 2.9288 0.0000 Cd
2.9288 6.8699 0.0000 Cd
4.9535 1.0123 0.0000 Cd
6.8699 4.9535 0.0000 Cd
1.3863 5.3274 1.5834 Ga
2.5549 1.3863 1.5834 Ga
5.3274 6.4960 1.5834 Ga
6.4960 2.5549 1.5834 Ga
```

The value obtained for the relative energy among the computed polymorphs is 99 meV per atom. The calculated density comes out at 7.0 g/cm³. As for the energy relative to the elements: 0.206 eV/atom.

---

# 4
Compound: HfIn2Ag
Source: Alexandria via LeMat-Bulk
Functional: PBE-GGA
Structure: optimized geometry

POSCAR file:
```
HfIn2Ag
1.0
4.4311 0.0000 0.0000
0.0000 4.4311 0.0000
0.0000 0.0000 4.2534
Hf In Ag
1 2 1
Cartesian
0.0000 0.0000 0.0000 Hf
0.0000 2.2156 2.1267 In
2.2156 0.0000 2.1267 In
2.2156 2.2156 0.0000 Ag
```

The value obtained for the relative energy among the computed polymorphs is 0 meV per atom. The calculated density comes out at 10.3 g/cm³. As for the energy relative to the elements: -0.105 eV/atom.